DFT (meta-GGA SCAN) results for a crystal of CrFe2Rh relaxed with PBEsol. Values from VASP.

The structure in Quantum ESPRESSO input format:
```
&SYSTEM
  ibrav = 0, nat = 4, ntyp = 3
/
ATOMIC_SPECIES
Cr 52.00 Cr.upf
Fe 55.84 Fe.upf
Rh 102.91 Rh.upf
CELL_PARAMETERS angstrom
2.537 0.000 0.000
0.000 3.450 0.000
0.000 0.000 5.096
ATOMIC_POSITIONS angstrom
Cr 0.000 0.000 0.000
Fe 0.000 0.000 2.268
Fe 1.269 1.725 1.228
Rh 1.269 1.725 3.707
```

## Properties
Symmetry ... No. 25

=====

DFT (meta-GGA SCAN) results for a crystal of CrFeRh relaxed with PBEsol. Values from VASP.

The structure in Quantum ESPRESSO input format:
```
&SYSTEM
  ibrav = 0, nat = 3, ntyp = 3
/
ATOMIC_SPECIES
Cr 52.00 Cr.upf
Fe 55.84 Fe.upf
Rh 102.91 Rh.upf
CELL_PARAMETERS angstrom
3.991 0.000 0.000
-1.995 3.456 0.000
0.000 0.000 2.553
ATOMIC_POSITIONS angstrom
Cr 0.000 0.000 0.000
Fe 1.995 1.152 0.000
Rh 0.000 2.304 1.276
```

## Properties
Symmetry ... No. 187
Polymorph energy (0 for the lowest one) ... 0.038 eV per atom

=====

DFT (meta-GGA SCAN) results for a crystal of Cr2FeRh relaxed with PBEsol. Values from VASP.

The structure in Quantum ESPRESSO input format:
```
&SYSTEM
  ibrav = 0, nat = 4, ntyp = 3
/
ATOMIC_SPECIES
Cr 52.00 Cr.upf
Fe 55.84 Fe.upf
Rh 102.91 Rh.upf
CELL_PARAMETERS angstrom
-1.788 1.788 3.605
1.788 -1.788 3.605
1.788 1.788 -3.605
ATOMIC_POSITIONS angstrom
Cr 1.788 0.000 1.802
Cr 0.000 1.788 1.802
Fe 0.000 0.000 0.000
Rh 0.000 0.000 3.605
```

## Properties
Symmetry ... No. 139
Polymorph energy (0 for the lowest one) ... 0.011 eV per atom

=====

DFT (meta-GGA SCAN) results for a crystal of CrFe4Rh relaxed with PBEsol. Values from VASP.

The structure in Quantum ESPRESSO input format:
```
&SYSTEM
  ibrav = 0, nat = 6, ntyp = 3
/
ATOMIC_SPECIES
Cr 52.00 Cr.upf
Fe 55.84 Fe.upf
Rh 102.91 Rh.upf
CELL_PARAMETERS angstrom
0.000 3.249 3.249
3.249 0.000 3.249
3.249 3.249 0.000
ATOMIC_POSITIONS angstrom
Cr 0.000 0.000 0.000
Fe 2.438 2.438 2.438
Fe 4.060 4.060 2.438
Fe 4.060 2.438 4.060
Fe 2.438 4.060 4.060
Rh 4.873 4.873 4.873
```

## Properties
Symmetry ... No. 216

=====

DFT (meta-GGA SCAN) results for a crystal of Cr2FeRh relaxed with PBEsol. Values from VASP.

The structure in Quantum ESPRESSO input format:
```
&SYSTEM
  ibrav = 0, nat = 4, ntyp = 3
/
ATOMIC_SPECIES
Cr 52.00 Cr.upf
Fe 55.84 Fe.upf
Rh 102.91 Rh.upf
CELL_PARAMETERS angstrom
2.561 0.000 0.000
0.000 3.494 0.000
0.000 0.000 5.127
ATOMIC_POSITIONS angstrom
Cr 0.000 0.000 1.148
Cr 0.000 0.000 3.980
Fe 1.280 1.747 0.000
Rh 1.280 1.747 2.564
```

## Properties
Symmetry ... No. 47
Polymorph energy (0 for the lowest one) ... 0.050 eV per atom

=====

DFT (meta-GGA SCAN) results for a crystal of CrFeRu2 relaxed with PBEsol. Values from VASP.

The structure in Quantum ESPRESSO input format:
```
&SYSTEM
  ibrav = 0, nat = 4, ntyp = 3
/
ATOMIC_SPECIES
Cr 52.00 Cr.upf
Fe 55.84 Fe.upf
Ru 101.07 Ru.upf
CELL_PARAMETERS angstrom
3.931 0.000 0.000
0.000 1.305 4.682
0.000 -1.305 4.682
ATOMIC_POSITIONS angstrom
Cr 0.000 0.000 0.000
Fe 1.965 0.000 8.258
Ru 0.000 0.000 2.524
Ru 1.965 0.000 5.756
```

## Properties
Symmetry ... No. 38

=====

DFT (meta-GGA SCAN) results for a crystal of CrFe3Ru relaxed with PBEsol. Values from VASP.

The structure in Quantum ESPRESSO input format:
```
&SYSTEM
  ibrav = 0, nat = 5, ntyp = 3
/
ATOMIC_SPECIES
Cr 52.00 Cr.upf
Fe 55.84 Fe.upf
Ru 101.07 Ru.upf
CELL_PARAMETERS angstrom
4.051 0.000 0.000
0.000 4.051 0.000
0.000 0.000 4.051
ATOMIC_POSITIONS angstrom
Cr 0.000 0.000 0.000
Fe 0.000 0.000 2.025
Fe 0.000 2.025 0.000
Fe 2.025 0.000 0.000
Ru 2.025 2.025 2.025
```

## Properties
Symmetry ... No. 221

=====

DFT (meta-GGA SCAN) results for a crystal of Cr2FeRu relaxed with PBEsol. Values from VASP.

The structure in Quantum ESPRESSO input format:
```
&SYSTEM
  ibrav = 0, nat = 4, ntyp = 3
/
ATOMIC_SPECIES
Cr 52.00 Cr.upf
Fe 55.84 Fe.upf
Ru 101.07 Ru.upf
CELL_PARAMETERS angstrom
1.424 -2.070 0.000
1.424 2.070 0.000
0.000 0.000 8.007
ATOMIC_POSITIONS angstrom
Cr 0.000 0.000 0.000
Cr 1.424 0.000 1.884
Fe 1.424 0.000 6.076
Ru 0.000 0.000 3.961
```

## Properties
Symmetry ... No. 35
Polymorph energy (0 for the lowest one) ... 0.000 eV per atom

=====

no.,formation enthalpy at 0 K (eV/atom),M_tot (μB/atom)
1,0.078,0.66
2,0.004,0.30
3,0.066,0.08
4,-0.040,1.10
5,0.105,0.11
6,0.173,0.00
7,1.354,1.30
8,0.158,0.76